1.
This record from the Alexandria database describes a geometry-optimized PaCoIr2 structure. The functional is PBE.

Lattice parameters (Å, degrees): 4.2943 4.2943 13.3400 90.00 90.00 120.00
Space group R-3m (No. 166, hexagonal axes)
Inequivalent atoms, fractional coordinates:
Pa: 0.0000 0.0000 0.0000 x3
Co: 0.0000 0.0000 0.5000 x3
Ir: 0.0000 0.0000 0.2101 x6

Properties
**Magnetization**: 0.243 μB per atom
**D(E_F)**: 1.392 states/eV per atom
**Mass density**: 15.8 Mg/m³
**E_form**: -356 meV per atom
**Energy**: -8.937 eV per atom


2.
This record from the Alexandria database describes a geometry-optimized Pa2Co2Ir structure. The functional is PBE.

Lattice parameters (Å, degrees): 7.0653 7.0653 6.9271 90.00 90.00 90.00
Space group P4/mnc (No. 128)
Inequivalent atoms, fractional coordinates:
Pa: 0.1811 0.3187 0.0000 x8
Co: 0.1285 0.6285 0.2500 x8
Ir: 0.0000 0.0000 0.2505 x4

Properties
**Magnetization**: 0.000 μB per atom
**D(E_F)**: 0.977 states/eV per atom
**Mass density**: 14.8 Mg/m³
**E_form**: -596 meV per atom
**Energy**: -9.009 eV per atom


3.
This record from the Alexandria database describes a geometry-optimized PaCo6Ir structure. The functional is PBE.

Lattice parameters (Å, degrees): 4.7152 4.7152 4.7152 90.00 90.00 90.00
Space group Pm-3 (No. 200)
Inequivalent atoms, fractional coordinates:
Pa: 0.0000 0.0000 0.0000 x1
Co: 0.0000 0.2586 0.5000 x6
Ir: 0.5000 0.5000 0.5000 x1

Properties
**Magnetization**: 0.846 μB per atom
**D(E_F)**: 1.650 states/eV per atom
**Mass density**: 12.3 Mg/m³
**E_form**: 83 meV per atom
**Energy**: -7.541 eV per atom


4.
This record from the Alexandria database describes a geometry-optimized Pa2Co4Ir structure. The functional is PBE.

Lattice parameters (Å, degrees): 4.6109 4.6109 12.3887 90.00 90.00 90.00
Space group I4/mmm (No. 139)
Inequivalent atoms, fractional coordinates:
Pa: 0.0000 0.0000 0.1364 x4
Co: 0.0000 0.0000 0.3060 x4
Co: 0.0000 0.5000 0.0000 x4
Ir: 0.0000 0.0000 0.5000 x2

Properties
**Magnetization**: 0.315 μB per atom
**D(E_F)**: 0.771 states/eV per atom
**Mass density**: 11.2 Mg/m³
**E_form**: 249 meV per atom
**Energy**: -7.790 eV per atom